No. 1
LuAlSn2 | PBE | optimized geometry

Cell and atoms, written as POSCAR:
```
LuAlSn2
1.0
3.827 0.000 0.000
0.000 3.827 0.000
0.000 0.000 6.478
Al Sn Lu
1 2 1
Cartesian
1.914 1.914 0.000
0.000 0.000 4.984
0.000 0.000 1.495
1.914 1.914 3.239
```

Calculated values
final energy: -17.2 eV per cell
E_form: -228 meV/atom
total magnetization: 0.00 μB/f.u.


No. 2
Ac2Tb4Tl3H2 | PBE | optimized geometry

Cell and atoms, written as POSCAR:
```
Ac2Tb4Tl3H2
1.0
4.903 0.000 0.000
0.000 4.903 0.000
-2.451 -2.451 12.763
Tb Tl Ac H
4 3 2 2
Cartesian
0.000 2.451 10.742
2.451 0.000 10.742
2.451 0.000 2.021
0.000 2.451 2.021
0.000 0.000 0.000
2.451 2.451 8.579
0.000 0.000 4.184
0.000 0.000 7.735
2.451 2.451 5.028
2.451 2.451 2.384
0.000 0.000 10.379
```

Calculated values
final energy: -44.0 eV per cell
total magnetization: 0.47 μB/f.u.


No. 3
V2NiHg2Se6 | PBE | optimized geometry

Cell and atoms, written as POSCAR:
```
V2NiHg2Se6
1.0
5.985 -0.064 -0.236
-3.014 5.171 -0.236
-1.450 -2.492 9.570
Ni V Se Hg
1 2 6 2
Cartesian
-0.725 -1.246 4.785
-0.699 2.156 4.549
2.220 0.459 4.549
0.169 0.291 3.131
1.262 -1.184 6.169
1.352 2.324 5.967
3.174 2.103 2.929
0.260 3.799 2.929
-1.653 0.512 6.169
-0.775 3.868 -0.236
3.745 1.238 -0.236
```

Calculated values
final energy: -50.0 eV per cell
formation energy from raw total energies: -9.3 kcal/mol of atoms
total magnetization: 2.46 μB/f.u.


No. 4
TbY2Ni | PBE | optimized geometry

Cell and atoms, written as POSCAR:
```
TbY2Ni
1.0
-3.034 -1.640 -0.058
1.387 -2.627 1.754
-2.225 3.848 7.524
Tb Y Ni
1 2 1
Cartesian
-1.936 -0.210 4.610
-1.810 3.130 6.119
-0.415 0.718 1.404
-0.824 -2.134 0.848
```

Calculated values
energy above the lowest structure with this stoichiometry: 89 meV/atom
final energy: -23.9 eV per cell
E_form: -149 meV/atom
total magnetization: 0.00 μB/f.u.


No. 5
LaMn2CoNi | PBE | optimized geometry

Cell and atoms, written as POSCAR:
```
LaMn2CoNi
1.0
-0.434 -4.483 -0.706
3.673 -0.879 3.323
-3.085 -0.229 3.349
La Ni Mn Co
1 1 2 1
Cartesian
1.837 -0.439 1.662
0.077 -2.796 2.983
-1.543 -0.115 1.675
-0.217 -2.242 -0.353
0.000 0.000 0.000
```

Calculated values
final energy: -32.8 eV per cell
E_form: 670 meV/atom
total magnetization: 8.69 μB/f.u.


No. 6
KPaAg2I8 | PBE | optimized geometry

Cell and atoms, written as POSCAR:
```
KPaAg2I8
1.0
-2.312 3.835 6.060
0.240 -5.317 5.334
9.736 2.446 3.393
I Ag K Pa
8 2 1 1
Cartesian
7.435 -1.384 8.404
4.223 0.773 5.098
9.167 2.056 6.297
3.442 0.191 9.689
1.666 -2.800 5.973
5.999 3.764 8.813
-1.502 -1.093 8.489
0.230 2.348 6.382
0.886 -0.534 9.842
6.779 1.498 4.944
4.868 1.223 1.696
0.000 0.000 0.000
```

Calculated values
final energy: -37.7 eV per cell
formation energy from raw total energies: -17.3 kcal/mol of atoms
total magnetization: 0.06 μB/f.u.


No. 7
BeP2Os | PBE | optimized geometry

Cell and atoms, written as POSCAR:
```
BeP2Os
1.0
-1.413 -3.641 -0.834
0.502 -0.886 3.019
-3.672 0.900 2.293
Os P Be
1 2 1
Cartesian
-3.084 -1.810 3.567
0.087 -0.482 1.957
-1.170 -0.397 3.718
-1.499 -1.817 0.911
```

Calculated values
final energy: -25.7 eV per cell
E_form: 8 meV/atom
total magnetization: 0.00 μB/f.u.


No. 8
PmSnPPd | PBE | optimized geometry

Cell and atoms, written as POSCAR:
```
PmSnPPd
1.0
-3.106 -0.225 3.833
-4.596 -1.689 -0.642
-1.304 -4.382 1.868
Pd Pm P Sn
1 1 1 1
Cartesian
-2.252 -1.574 1.265
-4.503 -3.148 2.529
-6.755 -4.722 3.794
0.000 0.000 0.000
```

Calculated values
final energy: -21.6 eV per cell
E_form: -557 meV/atom
total magnetization: 0.00 μB/f.u.